Below is an optimized crystal structure of ZrCr3As, with properties calculated at the PBE-GGA level.

The structure in extended XYZ format:
```
5
Lattice="4.571 0.000 0.000 0.000 4.571 0.000 0.000 0.000 4.571" Properties=species:S:1:pos:R:3 pbc="T T T"
Zr 0.000 0.000 0.000
Cr 0.000 0.000 2.285
Cr 0.000 2.285 0.000
Cr 2.285 0.000 0.000
As 2.285 2.285 2.285
```

Its size of the total moment is 0.01 μB per cell. As for the energy of formation from the pure elements: 2064 meV per atom. As for the space group: Pm-3m, No. 221.

=====

Below is an optimized crystal structure of IrW2Br, with properties calculated at the PBE-GGA level.

The structure in extended XYZ format:
```
4
Lattice="4.264 0.000 0.000 0.000 1.429 5.444 0.000 -1.429 5.444" Properties=species:S:1:pos:R:3 pbc="T T T"
Ir 0.000 0.000 0.000
W 0.000 0.000 2.618
W 2.132 0.000 6.473
Br 2.132 0.000 3.940
```

Its size of the total moment is 0.00 μB per cell. As for the space group: Amm2, No. 38. The value obtained for the formation energy from raw total energies is 0.73 eV per atom.

=====

Below is an optimized crystal structure of Tb8Ho2Tl, with properties calculated at the PBE-GGA level.

The structure in extended XYZ format:
```
11
Lattice="8.614 -2.680 0.000 8.614 2.680 0.000 -3.601 0.000 7.464" Properties=species:S:1:pos:R:3 pbc="T T T"
Tb -0.482 0.000 1.703
Tb 0.245 0.000 5.265
Tb 3.555 0.000 4.437
Tb 6.543 0.000 0.499
Tb 7.083 0.000 6.965
Tb 10.071 0.000 3.027
Tb 13.381 0.000 2.199
Tb 14.108 0.000 5.762
Ho 2.887 0.000 1.116
Ho 10.739 0.000 6.349
Tl 6.813 0.000 3.732
```

Its size of the total moment is 0.00 μB per cell. As for the energy of formation from the pure elements: 21 meV per atom. As for the space group: C2/m, No. 12.

=====

Below is an optimized crystal structure of AlCuAg2Br, with properties calculated at the PBE-GGA level.

The structure in extended XYZ format:
```
5
Lattice="5.075 0.000 0.000 0.000 5.075 0.000 0.000 0.000 4.645" Properties=species:S:1:pos:R:3 pbc="T T T"
Al 0.000 0.000 0.000
Cu 0.000 0.000 2.323
Ag 0.000 2.538 0.000
Ag 2.538 0.000 0.000
Br 2.538 2.538 2.323
```

Its size of the total moment is 0.00 μB per cell. As for the space group: P4/mmm, No. 123. The value obtained for the formation energy from raw total energies is 0.53 eV per atom.

=====

Below is an optimized crystal structure of CaNi2Pb, with properties calculated at the PBE-GGA level.

The structure in extended XYZ format:
```
4
Lattice="0.000 3.342 3.342 3.342 0.000 3.342 3.342 3.342 0.000" Properties=species:S:1:pos:R:3 pbc="T T T"
Ca 0.000 0.000 0.000
Ni 1.671 1.671 1.671
Ni 3.342 3.342 3.342
Pb 5.013 5.013 5.013
```

Its size of the total moment is 0.00 μB per cell. As for the energy of formation from the pure elements: 190 meV per atom. As for the space group: F-43m, No. 216.

=====

Below is an optimized crystal structure of PPtPb2, with properties calculated at the PBE-GGA level.

The structure in extended XYZ format:
```
4
Lattice="0.000 3.549 3.549 3.549 0.000 3.549 3.549 3.549 0.000" Properties=species:S:1:pos:R:3 pbc="T T T"
P 0.000 0.000 0.000
Pt 5.323 5.323 5.323
Pb 1.774 1.774 1.774
Pb 3.549 3.549 3.549
```

Its size of the total moment is 0.00 μB per cell. As for the energy of formation from the pure elements: 398 meV per atom. As for the space group: F-43m, No. 216.

=====

Below is an optimized crystal structure of LaZn2Os, with properties calculated at the PBE-GGA level.

The structure in extended XYZ format:
```
4
Lattice="1.485 0.857 9.758 -1.485 0.857 9.758 0.000 -1.715 9.758" Properties=species:S:1:pos:R:3 pbc="T T T"
La 0.000 0.000 0.000
Zn 0.000 0.000 14.838
Zn 0.000 0.000 22.358
Os 0.000 0.000 7.109
```

Its size of the total moment is 0.70 μB per cell. As for the energy of formation from the pure elements: 434 meV per atom. As for the space group: R3m, No. 160.

=====

Below is an optimized crystal structure of Ho2Cd3, with properties calculated at the PBE-GGA level.

The structure in extended XYZ format:
```
5
Lattice="2.505 1.446 5.779 -2.505 1.446 5.779 0.000 -2.892 5.779" Properties=species:S:1:pos:R:3 pbc="T T T"
Ho 0.000 0.000 1.704
Ho 0.000 0.000 15.634
Cd 0.000 0.000 5.354
Cd 0.000 0.000 8.669
Cd 0.000 0.000 11.984
```

Its size of the total moment is 0.00 μB per cell. As for the energy of formation from the pure elements: -236 meV per atom. As for the space group: R-3m, No. 166.